[1]
# RbAc2Pb

An optimized crystal structure of RbAc2Pb (GGA-PBE, the Alexandria database).

- Formation energy from the elements: 0.034 eV per atom

a = 5.5944 Å, b = 5.5944 Å, c = 5.1695 Å
α = 90.00°, β = 90.00°, γ = 90.00°
Space group P4/mmm (No. 123)
One atom of each set of equivalent atoms:
Rb 0.0000 0.0000 0.0000
Ac 0.0000 0.5000 0.5000
Pb 0.5000 0.5000 0.0000



[2]
# RbAc4Pb4

An optimized crystal structure of RbAc4Pb4 (GGA-PBE, the Alexandria database).

- Formation energy from the elements: -0.290 eV per atom

a = 11.2802 Å, b = 11.2802 Å, c = 6.7501 Å
α = 90.00°, β = 90.00°, γ = 90.00°
Space group P4_2/n (No. 86, origin choice 2)
One atom of each set of equivalent atoms:
Rb 0.2500 0.2500 0.2500
Ac 0.1128 0.6300 0.1449
Pb 0.0635 0.5836 0.6544



[3]
# RbAc4Pb5

An optimized crystal structure of RbAc4Pb5 (GGA-PBE, the Alexandria database).

- Formation energy from the elements: -0.402 eV per atom

a = 3.8479 Å, b = 3.8479 Å, c = 24.7902 Å
α = 90.00°, β = 90.00°, γ = 90.00°
Space group P4/mmm (No. 123)
One atom of each set of equivalent atoms:
Rb 0.0000 0.0000 0.0000
Ac 0.0000 0.0000 0.2095
Ac 0.0000 0.0000 0.4049
Pb 0.5000 0.5000 0.1143
Pb 0.5000 0.5000 0.3077
Pb 0.5000 0.5000 0.5000



[4]
# RbAc2Pb

An optimized crystal structure of RbAc2Pb (GGA-PBE, the Alexandria database).

- Formation energy from the elements: 0.058 eV per atom

a = 4.2852 Å, b = 4.2852 Å, c = 40.0052 Å
α = 90.00°, β = 90.00°, γ = 120.00°
Space group R-3m (No. 166, hexagonal axes)
One atom of each set of equivalent atoms:
Rb 0.0000 0.0000 0.0000
Ac 0.0000 0.0000 0.1089
Pb 0.0000 0.0000 0.5000



[5]
# RbAcPb4

An optimized crystal structure of RbAcPb4 (GGA-PBE, the Alexandria database).

- Formation energy from the elements: -0.251 eV per atom

a = 9.4676 Å, b = 9.4676 Å, c = 9.4676 Å
α = 90.00°, β = 90.00°, γ = 90.00°
Space group F-43m (No. 216)
One atom of each set of equivalent atoms:
Rb 0.0000 0.0000 0.0000
Ac 0.2500 0.2500 0.2500
Pb 0.1234 0.1234 0.6234



[6]
# RbAcPbS3

An optimized crystal structure of RbAcPbS3 (GGA-PBE, the Alexandria database).

- Formation energy without anion corrections: -8.21 eV/f.u.

a = 9.1979 Å, b = 4.3520 Å, c = 13.0005 Å
α = 90.00°, β = 106.42°, γ = 90.00°
Space group P2_1/m (No. 11)
One atom of each set of equivalent atoms:
Rb 0.0676 0.2500 0.3682
Ac 0.4444 0.7500 0.6326
Pb 0.3293 0.2500 0.8739
S 0.2232 0.2500 0.6473
S 0.3486 0.7500 0.3924
S 0.4883 0.2500 0.1268



[7]
# Rb3Ac2PbS6

An optimized crystal structure of Rb3Ac2PbS6 (GGA-PBE, the Alexandria database).

- Formation energy without anion corrections: -17.29 eV/f.u.

a = 7.5882 Å, b = 13.1392 Å, c = 8.1678 Å
α = 90.00°, β = 107.99°, γ = 90.00°
Space group C2/m (No. 12)
One atom of each set of equivalent atoms:
Rb 0.0000 0.0000 0.0000
Rb 0.0000 0.3358 0.0000
Ac 0.0000 0.1669 0.5000
Pb 0.0000 0.5000 0.5000
S 0.2318 0.3363 0.7046
S 0.2404 0.0000 0.7038



[8]
# RbAc2PbS4

An optimized crystal structure of RbAc2PbS4 (GGA-PBE, the Alexandria database).

- Formation energy without anion corrections: -12.09 eV/f.u.

a = 12.3775 Å, b = 12.2828 Å, c = 8.9826 Å
α = 90.00°, β = 131.39°, γ = 90.00°
Space group C2/c (No. 15)
One atom of each set of equivalent atoms:
Rb 0.2500 0.2500 0.0000
Ac 0.0000 0.0000 0.0000
Ac 0.2500 0.2500 0.5000
Pb 0.0000 0.5000 0.0000
S 0.0087 0.2475 0.0396
S 0.2105 0.0115 0.4356



[9]
# RbAc2Pb3S6

An optimized crystal structure of RbAc2Pb3S6 (GGA-PBE, the Alexandria database).

- Formation energy without anion corrections: -14.04 eV/f.u.

a = 18.7376 Å, b = 4.5241 Å, c = 8.5705 Å
α = 90.00°, β = 100.76°, γ = 90.00°
Space group C2/m (No. 12)
One atom of each set of equivalent atoms:
Rb 0.0000 0.0000 0.0000
Ac 0.1666 0.5000 0.3262
Pb 0.0000 0.0000 0.5000
Pb 0.1619 0.5000 0.8523
S 0.0095 0.5000 0.2749
S 0.1688 0.0000 0.5623
S 0.1800 0.0000 0.0876



[10]
# Rb2AcPbS4

An optimized crystal structure of Rb2AcPbS4 (GGA-PBE, the Alexandria database).

- Formation energy without anion corrections: -9.68 eV/f.u.

a = 8.8683 Å, b = 8.9689 Å, c = 12.5986 Å
α = 90.00°, β = 90.00°, γ = 90.00°
Space group Imma (No. 74)
One atom of each set of equivalent atoms:
Rb 0.0000 0.0000 0.0000
Rb 0.2500 0.2500 0.2500
Ac 0.0000 0.0000 0.5000
Pb 0.2500 0.2500 0.7500
S 0.0000 0.0354 0.7389
S 0.2236 0.2500 0.5159



[11]
# Rb2AcPb2S4

An optimized crystal structure of Rb2AcPb2S4 (GGA-PBE, the Alexandria database).

- Formation energy without anion corrections: -10.21 eV/f.u.

a = 15.0894 Å, b = 4.5497 Å, c = 10.5291 Å
α = 90.00°, β = 119.57°, γ = 90.00°
Space group C2/m (No. 12)
One atom of each set of equivalent atoms:
Rb 0.1905 0.0000 0.2725
Ac 0.0000 0.0000 0.5000
Pb 0.0991 0.5000 0.8744
S 0.0822 0.5000 0.3999
S 0.1730 0.0000 0.8061



[12]
# RbAc2PbSe4

An optimized crystal structure of RbAc2PbSe4 (GGA-PBE, the Alexandria database).

- Formation energy without anion corrections: -11.59 eV/f.u.

a = 8.7893 Å, b = 9.6352 Å, c = 12.9260 Å
α = 90.00°, β = 90.00°, γ = 90.00°
Space group Imma (No. 74)
One atom of each set of equivalent atoms:
Rb 0.2500 0.2500 0.2500
Ac 0.0000 0.0000 0.0000
Ac 0.2500 0.2500 0.7500
Pb 0.0000 0.0000 0.5000
Se 0.0000 0.0221 0.7566
Se 0.2448 0.2500 0.9910



[13]
# RbAc2Te4Pb

An optimized crystal structure of RbAc2Te4Pb (GGA-PBE, the Alexandria database).

- Formation energy without anion corrections: -8.91 eV/f.u.

a = 4.8197 Å, b = 16.5703 Å, c = 16.9584 Å
α = 90.00°, β = 90.00°, γ = 90.00°
Space group Cmcm (No. 63)
One atom of each set of equivalent atoms:
Rb 0.0000 0.1370 0.2500
Ac 0.0000 0.3718 0.0640
Te 0.0000 0.0000 0.0000
Te 0.0000 0.2682 0.6033
Te 0.0000 0.4736 0.2500
Pb 0.0000 0.1355 0.7500



[14]
# Ac11Rh4Pb9

An optimized crystal structure of Ac11Rh4Pb9 (GGA-PBE, the Alexandria database).

- Formation energy from the elements: -0.578 eV per atom

a = 15.3148 Å, b = 23.0030 Å, c = 4.3241 Å
α = 90.00°, β = 90.00°, γ = 90.00°
Space group Cmmm (No. 65)
One atom of each set of equivalent atoms:
Ac 0.0000 0.0000 0.0000
Ac 0.0000 0.1666 0.0000
Ac 0.0000 0.3750 0.0000
Ac 0.1888 0.5000 0.0000
Ac 0.2495 0.1673 0.0000
Rh 0.1569 0.3980 0.5000
Pb 0.0000 0.5000 0.5000
Pb 0.1060 0.2659 0.5000
Pb 0.1465 0.0725 0.5000



[15]
# AcRhPb

An optimized crystal structure of AcRhPb (GGA-PBE, the Alexandria database).

- Formation energy from the elements: -0.590 eV per atom

a = 7.9126 Å, b = 4.5083 Å, c = 13.2178 Å
α = 90.00°, β = 90.53°, γ = 90.00°
Space group P2_1/m (No. 11)
One atom of each set of equivalent atoms:
Ac 0.0383 0.2500 0.1237
Ac 0.1564 0.2500 0.4196
Ac 0.4496 0.7500 0.7895
Rh 0.2412 0.7500 0.2537
Rh 0.2518 0.2500 0.9190
Rh 0.2632 0.7500 0.5911
Pb 0.1233 0.2500 0.7035
Pb 0.3526 0.7500 0.0438
Pb 0.4936 0.7500 0.4112



[16]
# Ac8Rh2Pb3

An optimized crystal structure of Ac8Rh2Pb3 (GGA-PBE, the Alexandria database).

- Formation energy from the elements: -0.218 eV per atom

a = 7.4477 Å, b = 7.4477 Å, c = 31.8511 Å
α = 90.00°, β = 90.00°, γ = 120.00°
Space group R-3m (No. 166, hexagonal axes)
One atom of each set of equivalent atoms:
Ac 0.0000 0.0000 0.1976
Ac 0.0097 0.5048 0.2741
Rh 0.0000 0.0000 0.1124
Pb 0.0000 0.0000 0.3017
Pb 0.0000 0.0000 0.5000



[17]
# Ac3RhPb

An optimized crystal structure of Ac3RhPb (GGA-PBE, the Alexandria database).

- Formation energy from the elements: -0.481 eV per atom

a = 5.7445 Å, b = 5.7445 Å, c = 5.7445 Å
α = 90.00°, β = 90.00°, γ = 90.00°
Space group Pm-3m (No. 221)
One atom of each set of equivalent atoms:
Ac 0.0000 0.0000 0.5000
Rh 0.0000 0.0000 0.0000
Pb 0.5000 0.5000 0.5000



[18]
# Ac3Rh3Pb

An optimized crystal structure of Ac3Rh3Pb (GGA-PBE, the Alexandria database).

- Formation energy from the elements: -0.456 eV per atom

a = 9.1216 Å, b = 9.1216 Å, c = 5.9290 Å
α = 90.00°, β = 90.00°, γ = 120.00°
Space group P6_3/m (No. 176)
One atom of each set of equivalent atoms:
Ac 0.0547 0.3486 0.2500
Rh 0.0427 0.3648 0.7500
Pb 0.3333 0.6667 0.7500



[19]
# Ac2Rh2Pb

An optimized crystal structure of Ac2Rh2Pb (GGA-PBE, the Alexandria database).

- Formation energy from the elements: -0.594 eV per atom

a = 4.6353 Å, b = 6.2314 Å, c = 9.0976 Å
α = 90.00°, β = 90.00°, γ = 90.00°
Space group Immm (No. 71)
One atom of each set of equivalent atoms:
Ac 0.0000 0.0000 0.2057
Rh 0.0000 0.2808 0.5000
Pb 0.0000 0.5000 0.0000



[20]
# AcRh4Pb4

An optimized crystal structure of AcRh4Pb4 (GGA-PBE, the Alexandria database).

- Formation energy from the elements: -0.120 eV per atom

a = 9.0398 Å, b = 9.0398 Å, c = 5.4625 Å
α = 90.00°, β = 90.00°, γ = 90.00°
Space group P4_2/n (No. 86, origin choice 2)
One atom of each set of equivalent atoms:
Ac 0.2500 0.2500 0.2500
Rh 0.0492 0.6078 0.6660
Pb 0.0934 0.6413 0.1658



Here are the calculated magnetization numbers, same order: 0.000, 0.000, 0.000, 0.000, 0.000, 0.000, 0.000, 0.000, 0.000, 0.000, 0.000, 0.000, 0.000, 0.000, 0.000, 0.000, 0.000, 0.000, 0.000, 0.000 (μB/atom).